The following is a PBE calculation of crystalline NaLiFe2Cl at its relaxed geometry, from Alexandria.

Its space-group type is No. 123. As for the formation energy (no corrections): 714 meV per atom. The total moment is 5.83 μB per formula unit.

abc: 4.319 5.276 4.319
angles: 90.00 90.00 90.00
Site moments in Bohr magnetons follow the coordinates.
Fractional coordinates of all 5 atoms:
Fe 0.000 0.000 0.500  2.96
Fe 0.500 0.000 0.000  2.82
Na 0.500 0.500 0.500  -0.02
Cl 0.000 0.500 0.000  0.06
Li 0.000 0.000 0.000  -0.07

The following is a PBE calculation of crystalline Mn2CrAg at its relaxed geometry, from Alexandria.

Its space-group type is No. 160. The total moment is 0.03 μB per formula unit. The value obtained for the energy relative to the lowest polymorph listed for this composition is 0.205 eV/atom.

abc: 8.949 8.949 8.949
angles: 16.67 16.67 16.67
Site moments in Bohr magnetons follow the coordinates.
Fractional coordinates of all 4 atoms:
Mn 0.997 0.997 0.997  -0.12
Mn 0.260 0.260 0.260  0.12
Ag 0.501 0.501 0.501  0.00
Cr 0.742 0.742 0.742  0.03

The following is a PBE calculation of crystalline Na2PuCuCl8 at its relaxed geometry, from Alexandria.

Its space-group type is No. 2. As for the formation energy (no corrections): -1398 meV per atom. The total moment is 2.98 μB per formula unit.

abc: 6.648 7.082 8.205
angles: 82.72 96.72 110.98
Site moments in Bohr magnetons follow the coordinates.
Fractional coordinates of all 12 atoms:
Cl 0.916 0.165 0.244  -0.14
Cl 0.399 0.235 0.036  -0.07
Cl 0.082 0.729 0.208  -0.07
Cl 0.918 0.271 0.792  -0.07
Cl 0.601 0.765 0.964  -0.07
Cl 0.084 0.835 0.756  -0.14
Cl 0.336 0.229 0.508  -0.08
Cl 0.664 0.771 0.492  -0.08
Cu 0.000 0.000 0.500  -0.49
Na 0.601 0.466 0.749  0.00
Na 0.399 0.534 0.251  0.00
Pu 0.000 0.000 0.000  4.30

The following is a PBE calculation of crystalline Ac6Pr2Ag at its relaxed geometry, from Alexandria.

Its space-group type is No. 189. The total moment is 0.00 μB per formula unit. As for the total energy: -0.3054 Ry per atom.

abc: 4.023 10.213 10.211
angles: 120.01 90.00 90.00
Fractional coordinates of all 9 atoms:
Ac 0.500 0.000 0.609
Ac 0.500 0.391 0.391
Ac 0.000 0.743 0.743
Ac 0.000 0.000 0.257
Ac 0.000 0.257 0.000
Ac 0.500 0.609 0.000
Pr 0.000 0.333 0.666
Pr 0.000 0.667 0.334
Ag 0.500 0.000 0.000

The following is a PBE calculation of crystalline HgPdAu6 at its relaxed geometry, from Alexandria.

Its space-group type is No. 65. The total moment is 0.00 μB per formula unit. The value obtained for the energy relative to the lowest polymorph listed for this composition is 0.000 eV/atom.

abc: 4.059 5.977 5.977
angles: 90.06 90.00 90.00
Fractional coordinates of all 8 atoms:
Au 0.000 0.244 0.244
Au 0.000 0.756 0.756
Au 0.500 0.000 0.500
Au 0.500 0.500 0.000
Au 0.000 0.244 0.756
Au 0.000 0.756 0.244
Pd 0.500 0.000 0.000
Hg 0.500 0.500 0.500

The following is a PBE calculation of crystalline ScNi2Pt2 at its relaxed geometry, from Alexandria.

Its space-group type is No. 127. The total moment is 0.00 μB per formula unit. The value obtained for the energy relative to the lowest polymorph listed for this composition is 0.000 eV/atom.

abc: 6.753 6.753 3.242
angles: 90.00 90.00 90.00
Fractional coordinates of all 10 atoms:
Ni 0.130 0.370 0.000
Ni 0.870 0.630 0.000
Ni 0.630 0.130 0.000
Ni 0.370 0.870 0.000
Pt 0.167 0.667 0.500
Pt 0.667 0.833 0.500
Pt 0.833 0.333 0.500
Pt 0.333 0.167 0.500
Sc 0.500 0.500 0.000
Sc 0.000 0.000 0.000

The following is a PBE calculation of crystalline YTh3N4 at its relaxed geometry, from Alexandria.

Its space-group type is No. 221. As for the formation energy (no corrections): -1585 meV per atom. The total moment is 0.00 μB per formula unit.

abc: 5.124 5.124 5.124
angles: 90.00 90.00 90.00
Fractional coordinates of all 8 atoms:
N 0.500 0.000 0.000
N 0.000 0.500 0.000
N 0.000 0.000 0.500
N 0.500 0.500 0.500
Th 0.500 0.000 0.500
Th 0.500 0.500 0.000
Th 0.000 0.500 0.500
Y 0.000 0.000 0.000

The following is a PBE calculation of crystalline Ac2Pr8Dy3 at its relaxed geometry, from Alexandria.

Its space-group type is No. 12. The total moment is 0.00 μB per formula unit. As for the total energy: -0.3276 Ry per atom.

abc: 6.337 9.088 9.088
angles: 83.86 72.84 72.84
Fractional coordinates of all 13 atoms:
Pr 0.336 0.912 0.410
Pr 0.242 0.578 0.578
Pr 0.067 0.859 0.859
Pr 0.664 0.590 0.088
Pr 0.336 0.410 0.912
Pr 0.933 0.141 0.141
Pr 0.758 0.422 0.422
Pr 0.664 0.088 0.590
Dy 0.500 0.000 0.000
Dy 0.000 0.742 0.258
Dy 0.000 0.258 0.742
Ac 0.339 0.302 0.302
Ac 0.661 0.698 0.698

The following is a PBE calculation of crystalline BaLiAgHg3 at its relaxed geometry, from Alexandria.

Its space-group type is No. 63. The total moment is 0.00 μB per formula unit. As for the total energy: -0.1113 Ry per atom.

abc: 6.372 7.216 7.868
angles: 117.29 90.00 90.00
Fractional coordinates of all 12 atoms:
Li 0.750 0.039 0.078
Li 0.250 0.961 0.922
Ag 0.750 0.642 0.285
Ag 0.250 0.358 0.715
Ba 0.250 0.720 0.439
Ba 0.750 0.280 0.561
Hg 0.000 0.287 0.000
Hg 0.500 0.287 0.000
Hg 0.750 0.846 0.691
Hg 0.250 0.154 0.309
Hg 0.000 0.713 0.000
Hg 0.500 0.713 0.000

The following is a PBE calculation of crystalline Ba2CdIn3Ag4 at its relaxed geometry, from Alexandria.

Its space-group type is No. 115. The total moment is 0.00 μB per formula unit. As for the total energy: -0.1989 Ry per atom.

abc: 4.809 4.809 11.965
angles: 90.00 90.00 90.00
Fractional coordinates of all 10 atoms:
Ag 0.500 0.000 0.637
Ag 0.500 0.500 0.000
Ag 0.000 0.000 0.000
Ag 0.000 0.500 0.363
In 0.000 0.500 0.126
In 0.500 0.000 0.874
In 0.000 0.000 0.500
Ba 0.500 0.000 0.246
Ba 0.000 0.500 0.754
Cd 0.500 0.500 0.500

The following is a PBE calculation of crystalline MnV2Zn at its relaxed geometry, from Alexandria.

Its space-group type is No. 123. The total moment is 0.00 μB per formula unit. As for the total energy: -0.5240 Ry per atom.

abc: 3.130 4.039 4.039
angles: 90.00 90.00 90.00
Fractional coordinates of all 4 atoms:
V 0.000 0.500 0.000
V 0.000 0.000 0.500
Zn 0.500 0.000 0.000
Mn 0.500 0.500 0.500

The following is a PBE calculation of crystalline TbCuTc at its relaxed geometry, from Alexandria.

Its space-group type is No. 63. The total moment is 0.00 μB per formula unit. As for the total energy: -0.4563 Ry per atom.

abc: 3.862 3.311 9.512
angles: 79.98 90.00 90.00
Fractional coordinates of all 6 atoms:
Tb 0.250 0.887 0.227
Tb 0.750 0.113 0.773
Tc 0.250 0.247 0.507
Tc 0.750 0.753 0.493
Cu 0.250 0.536 0.929
Cu 0.750 0.464 0.071

The following is a PBE calculation of crystalline MgAl2Cr2 at its relaxed geometry, from Alexandria.

Its space-group type is No. 139. The total moment is 0.00 μB per formula unit. The value obtained for the energy relative to the lowest polymorph listed for this composition is 0.221 eV/atom.

abc: 6.970 6.970 6.970
angles: 151.13 151.13 41.28
Fractional coordinates of all 5 atoms:
Mg 0.000 0.000 0.000
Al 0.395 0.395 0.000
Al 0.605 0.605 0.000
Cr 0.250 0.750 0.500
Cr 0.750 0.250 0.500

The following is a PBE calculation of crystalline NdZrTlCd at its relaxed geometry, from Alexandria.

Its space-group type is No. 216. The total moment is 0.00 μB per formula unit. As for the total energy: -0.3151 Ry per atom.

abc: 5.255 5.255 5.255
angles: 60.00 60.00 60.00
Fractional coordinates of all 4 atoms:
Cd 0.750 0.750 0.750
Tl 0.250 0.250 0.250
Nd 0.000 0.000 0.000
Zr 0.500 0.500 0.500

The following is a PBE calculation of crystalline NdDy2Y8 at its relaxed geometry, from Alexandria.

Its space-group type is No. 12. The total moment is 0.00 μB per formula unit. The value obtained for the energy relative to the lowest polymorph listed for this composition is 0.023 eV/atom.

abc: 6.677 6.688 8.952
angles: 111.93 98.92 90.00
Fractional coordinates of all 11 atoms:
Y 0.408 0.827 0.180
Y 0.200 0.793 0.587
Y 0.904 0.589 0.178
Y 0.592 0.647 0.820
Y 0.592 0.173 0.820
Y 0.096 0.411 0.822
Y 0.408 0.353 0.180
Y 0.800 0.207 0.413
Dy 0.691 0.756 0.513
Dy 0.309 0.244 0.487
Nd 0.000 0.000 0.000

The following is a PBE calculation of crystalline Mg2InCo at its relaxed geometry, from Alexandria.

Its space-group type is No. 166. The total moment is 1.23 μB per formula unit. As for the total energy: -0.2263 Ry per atom.

abc: 9.279 9.279 9.279
angles: 19.40 19.40 19.40
Site moments in Bohr magnetons follow the coordinates.
Fractional coordinates of all 4 atoms:
Mg 0.988 0.988 0.988  -0.01
Mg 0.512 0.512 0.512  -0.01
In 0.750 0.750 0.750  0.00
Co 0.250 0.250 0.250  1.38

The following is a PBE calculation of crystalline CaMn4 at its relaxed geometry, from Alexandria.

Its space-group type is No. 221. The total moment is 14.94 μB per formula unit. The value obtained for the energy relative to the lowest polymorph listed for this composition is 1.626 eV/atom.

abc: 4.727 4.727 4.727
angles: 90.00 90.00 90.00
Site moments in Bohr magnetons follow the coordinates.
Fractional coordinates of all 5 atoms:
Ca 0.500 0.500 0.500  -0.17
Mn 0.000 0.500 0.500  3.50
Mn 0.500 0.000 0.500  3.50
Mn 0.000 0.000 0.000  4.13
Mn 0.500 0.500 0.000  3.50

The following is a PBE calculation of crystalline ReBAuCl at its relaxed geometry, from Alexandria.

Its space-group type is No. 1. As for the formation energy (no corrections): 226 meV per atom. The total moment is 0.00 μB per formula unit. The value obtained for the energy relative to the lowest polymorph listed for this composition is 0.005 eV/atom.

abc: 2.894 3.054 8.146
angles: 83.68 82.50 90.01
Fractional coordinates of all 4 atoms:
Au 0.681 0.718 0.450
Cl 0.477 0.555 0.003
Re 0.064 0.626 0.766
B 0.596 0.151 0.680

The following is a PBE calculation of crystalline Nd6Bi2C at its relaxed geometry, from Alexandria.

Its space-group type is No. 14. The total moment is 0.06 μB per formula unit. The value obtained for the energy relative to the lowest polymorph listed for this composition is 0.000 eV/atom.

abc: 6.616 8.297 10.205
angles: 90.00 91.99 90.00
Fractional coordinates of all 18 atoms:
C 0.000 0.000 0.500
C 0.500 0.500 0.000
Nd 0.364 0.784 0.043
Nd 0.392 0.527 0.754
Nd 0.892 0.973 0.254
Nd 0.108 0.027 0.746
Nd 0.831 0.664 0.963
Nd 0.136 0.284 0.457
Nd 0.636 0.216 0.957
Nd 0.331 0.836 0.463
Nd 0.864 0.716 0.543
Nd 0.608 0.473 0.246
Nd 0.669 0.164 0.537
Nd 0.169 0.336 0.037
Bi 0.579 0.897 0.758
Bi 0.079 0.603 0.258
Bi 0.421 0.103 0.242
Bi 0.921 0.397 0.742

The following is a PBE calculation of crystalline TbErAs2 at its relaxed geometry, from Alexandria.

Its space-group type is No. 166. The total moment is 0.00 μB per formula unit. The value obtained for the energy relative to the lowest polymorph listed for this composition is 0.001 eV/atom.

abc: 4.112 4.112 7.115
angles: 89.98 106.81 120.02
Fractional coordinates of all 4 atoms:
Er 0.000 0.000 0.000
As 0.502 0.251 0.754
As 0.498 0.749 0.246
Tb 0.000 0.500 0.500

The following is a PBE calculation of crystalline Cs9Au3O2 at its relaxed geometry, from Alexandria.

Its space-group type is No. 164. As for the formation energy (no corrections): -558 meV per atom. The total moment is 0.00 μB per formula unit.

abc: 8.380 8.380 10.281
angles: 90.00 90.00 120.00
Fractional coordinates of all 14 atoms:
Au 0.667 0.333 0.665
Au 0.333 0.667 0.335
Au 0.000 0.000 0.000
Cs 0.175 0.349 0.678
Cs 0.175 0.825 0.678
Cs 0.349 0.175 0.322
Cs 0.825 0.175 0.322
Cs 0.500 0.500 0.000
Cs 0.500 0.000 0.000
Cs 0.651 0.825 0.678
Cs 0.825 0.651 0.322
Cs 0.000 0.500 0.000
O 0.667 0.333 0.183
O 0.333 0.667 0.817

The following is a PBE calculation of crystalline GdYSi at its relaxed geometry, from Alexandria.

Its space-group type is No. 216. As for the formation energy (no corrections): -489 meV per atom. The total moment is 7.67 μB per formula unit.

abc: 4.869 4.869 4.869
angles: 60.00 60.00 60.00
Site moments in Bohr magnetons follow the coordinates.
Fractional coordinates of all 3 atoms:
Gd 0.500 0.500 0.500  7.22
Y 0.000 0.000 0.000  0.15
Si 0.250 0.250 0.250  -0.04

The following is a PBE calculation of crystalline AcEr2Ge2Pt7 at its relaxed geometry, from Alexandria.

Its space-group type is No. 12. The total moment is 0.00 μB per formula unit. As for the total energy: -0.4590 Ry per atom.

abc: 4.153 4.153 14.204
angles: 82.67 82.67 88.41
Fractional coordinates of all 12 atoms:
Er 0.132 0.132 0.637
Er 0.868 0.868 0.363
Pt 0.921 0.423 0.171
Pt 0.363 0.363 0.436
Pt 0.637 0.637 0.564
Pt 0.500 0.500 0.000
Pt 0.079 0.577 0.829
Pt 0.423 0.921 0.171
Pt 0.577 0.079 0.829
Ge 0.381 0.381 0.266
Ge 0.619 0.619 0.734
Ac 0.000 0.000 0.000

The following is a PBE calculation of crystalline SrLaGd2 at its relaxed geometry, from Alexandria.

Its space-group type is No. 123. The total moment is 15.48 μB per formula unit. The value obtained for the energy relative to the lowest polymorph listed for this composition is 0.000 eV/atom.

abc: 3.748 3.748 10.780
angles: 90.00 90.00 90.00
Site moments in Bohr magnetons follow the coordinates.
Fractional coordinates of all 4 atoms:
La 0.500 0.500 0.000  0.02
Sr 0.500 0.500 0.500  0.05
Gd 0.000 0.000 0.226  7.26
Gd 0.000 0.000 0.774  7.26

The following is a PBE calculation of crystalline HoVPt6 at its relaxed geometry, from Alexandria.

Its space-group type is No. 123. The total moment is 0.76 μB per formula unit. As for the total energy: -0.5138 Ry per atom.

abc: 4.010 4.010 8.060
angles: 90.00 90.00 90.00
Site moments in Bohr magnetons follow the coordinates.
Fractional coordinates of all 8 atoms:
Pt 0.500 0.000 0.267  -0.04
Pt 0.500 0.500 0.500  -0.07
Pt 0.000 0.500 0.733  -0.04
Pt 0.500 0.500 0.000  -0.03
Pt 0.000 0.500 0.267  -0.04
Pt 0.500 0.000 0.733  -0.04
Ho 0.000 0.000 0.000  -0.01
V 0.000 0.000 0.500  0.94